# 1
A relaxed structure of YZnOs2Se, computed with PBE.

Results
Total magnetic moment   4.68 μB/f.u.
Final energy   -4.680 eV per atom
Calculated volume   141 Å³/f.u.
Mass density   7.2 g/cm³
Formation energy without anion corrections   2.057 eV per atom
Energy above the lowest structure with this stoichiometry   0.894 eV/atom

```
data_YZnOs2Se
_chemical_formula_sum 'Y1 Zn1 Os2 Se1'
_symmetry_space_group_name_H-M 'P 4/m m m'
_symmetry_Int_Tables_number 123
_symmetry_space_group_name_Hall '-P 4 2'
_cell_length_a 5.153
_cell_length_b 5.153
_cell_length_c 5.317
_cell_angle_alpha 90.00
_cell_angle_beta 90.00
_cell_angle_gamma 90.00
loop_
_atom_site_label
_atom_site_type_symbol
_atom_site_fract_x
_atom_site_fract_y
_atom_site_fract_z
_atom_site_occupancy
Y1 Y 0.000 0.000 0.000 1
Zn1 Zn 0.500 0.500 0.500 1
Os1 Os 0.000 0.500 0.000 1
Se1 Se 0.000 0.000 0.500 1
```

# 2
A relaxed structure of YZnOs2Se, computed with PBE.

Results
Total magnetic moment   1.59 μB/f.u.
Final energy   -5.573 eV per atom
Calculated volume   108 Å³/f.u.
Mass density   9.4 g/cm³
Formation energy without anion corrections   1.163 eV per atom
Energy above the lowest structure with this stoichiometry   0.000 eV/atom

```
data_YZnOs2Se
_chemical_formula_sum 'Y1 Zn1 Os2 Se1'
_symmetry_space_group_name_H-M 'P 4/m m m'
_symmetry_Int_Tables_number 123
_symmetry_space_group_name_Hall '-P 4 2'
_cell_length_a 4.560
_cell_length_b 4.560
_cell_length_c 5.187
_cell_angle_alpha 90.00
_cell_angle_beta 90.00
_cell_angle_gamma 90.00
loop_
_atom_site_label
_atom_site_type_symbol
_atom_site_fract_x
_atom_site_fract_y
_atom_site_fract_z
_atom_site_occupancy
Y1 Y 0.000 0.000 0.000 1
Zn1 Zn 0.000 0.000 0.500 1
Os1 Os 0.000 0.500 0.500 1
Se1 Se 0.500 0.500 0.000 1
```

# 3
A relaxed structure of YZrOs2Se, computed with PBE.

Results
Total magnetic moment   1.93 μB/f.u.
Final energy   -6.652 eV per atom
Calculated volume   135 Å³/f.u.
Mass density   7.9 g/cm³
Formation energy without anion corrections   1.539 eV per atom

```
data_YZrOs2Se
_chemical_formula_sum 'Y1 Zr1 Os2 Se1'
_symmetry_space_group_name_H-M 'P 4/m m m'
_symmetry_Int_Tables_number 123
_symmetry_space_group_name_Hall '-P 4 2'
_cell_length_a 4.787
_cell_length_b 4.787
_cell_length_c 5.902
_cell_angle_alpha 90.00
_cell_angle_beta 90.00
_cell_angle_gamma 90.00
loop_
_atom_site_label
_atom_site_type_symbol
_atom_site_fract_x
_atom_site_fract_y
_atom_site_fract_z
_atom_site_occupancy
Y1 Y 0.000 0.000 0.000 1
Zr1 Zr 0.000 0.000 0.500 1
Os1 Os 0.000 0.500 0.500 1
Se1 Se 0.500 0.500 0.000 1
```

# 4
A relaxed structure of ZnOsSe, computed with PBE.

Results
Total magnetic moment   0.39 μB/f.u.
Final energy   -4.436 eV per atom
Calculated volume   53 Å³/f.u.
Mass density   10.5 g/cm³
Formation energy without anion corrections   0.893 eV per atom
Energy above the lowest structure with this stoichiometry   0.626 eV/atom

```
data_ZnOsSe
_chemical_formula_sum 'Zn4 Os4 Se4'
_symmetry_space_group_name_H-M 'F -4 3 m'
_symmetry_Int_Tables_number 216
_symmetry_space_group_name_Hall 'F -4 2 3'
_cell_length_a 5.966
_cell_length_b 5.966
_cell_length_c 5.966
_cell_angle_alpha 90.00
_cell_angle_beta 90.00
_cell_angle_gamma 90.00
loop_
_atom_site_label
_atom_site_type_symbol
_atom_site_fract_x
_atom_site_fract_y
_atom_site_fract_z
_atom_site_occupancy
Zn1 Zn 0.000 0.000 0.000 1
Os1 Os 0.000 0.000 0.500 1
Se1 Se 0.250 0.250 0.750 1
```

# 5
A relaxed structure of ZnOsSe3, computed with PBE.

Results
Total magnetic moment   0.00 μB/f.u.
Final energy   -3.962 eV per atom
Calculated volume   120 Å³/f.u.
Mass density   6.8 g/cm³
Formation energy without anion corrections   0.630 eV per atom
Energy above the lowest structure with this stoichiometry   0.000 eV/atom

```
data_ZnOsSe3
_chemical_formula_sum 'Zn1 Os1 Se3'
_symmetry_space_group_name_H-M 'P m -3 m'
_symmetry_Int_Tables_number 221
_symmetry_space_group_name_Hall '-P 4 2 3'
_cell_length_a 4.928
_cell_length_b 4.928
_cell_length_c 4.928
_cell_angle_alpha 90.00
_cell_angle_beta 90.00
_cell_angle_gamma 90.00
loop_
_atom_site_label
_atom_site_type_symbol
_atom_site_fract_x
_atom_site_fract_y
_atom_site_fract_z
_atom_site_occupancy
Zn1 Zn 0.000 0.000 0.000 1
Os1 Os 0.500 0.500 0.500 1
Se1 Se 0.000 0.500 0.500 1
```

# 6
A relaxed structure of Zn3OsSe, computed with PBE.

Results
Total magnetic moment   1.40 μB/f.u.
Final energy   -2.867 eV per atom
Calculated volume   113 Å³/f.u.
Mass density   6.8 g/cm³
Formation energy without anion corrections   0.841 eV per atom
Energy above the lowest structure with this stoichiometry   0.000 eV/atom

```
data_Zn3OsSe
_chemical_formula_sum 'Zn3 Os1 Se1'
_symmetry_space_group_name_H-M 'P m -3 m'
_symmetry_Int_Tables_number 221
_symmetry_space_group_name_Hall '-P 4 2 3'
_cell_length_a 4.838
_cell_length_b 4.838
_cell_length_c 4.838
_cell_angle_alpha 90.00
_cell_angle_beta 90.00
_cell_angle_gamma 90.00
loop_
_atom_site_label
_atom_site_type_symbol
_atom_site_fract_x
_atom_site_fract_y
_atom_site_fract_z
_atom_site_occupancy
Zn1 Zn 0.000 0.000 0.500 1
Os1 Os 0.000 0.000 0.000 1
Se1 Se 0.500 0.500 0.500 1
```

# 7
A relaxed structure of ZnOs4Se, computed with PBE.

Results
Total magnetic moment   0.00 μB/f.u.
Final energy   -7.237 eV per atom
Calculated volume   99 Å³/f.u.
Mass density   15.1 g/cm³
Formation energy without anion corrections   1.043 eV per atom

```
data_ZnOs4Se
_chemical_formula_sum 'Zn4 Os16 Se4'
_symmetry_space_group_name_H-M 'F -4 3 m'
_symmetry_Int_Tables_number 216
_symmetry_space_group_name_Hall 'F -4 2 3'
_cell_length_a 7.352
_cell_length_b 7.352
_cell_length_c 7.352
_cell_angle_alpha 90.00
_cell_angle_beta 90.00
_cell_angle_gamma 90.00
loop_
_atom_site_label
_atom_site_type_symbol
_atom_site_fract_x
_atom_site_fract_y
_atom_site_fract_z
_atom_site_occupancy
Zn1 Zn 0.000 0.000 0.000 1
Os1 Os 0.125 0.125 0.625 1
Se1 Se 0.250 0.250 0.250 1
```

# 8
A relaxed structure of ZnOsSe, computed with PBE.

Results
Total magnetic moment   0.00 μB/f.u.
Final energy   -4.796 eV per atom
Calculated volume   54 Å³/f.u.
Mass density   10.3 g/cm³
Formation energy without anion corrections   0.533 eV per atom
Energy above the lowest structure with this stoichiometry   0.266 eV/atom

```
data_ZnOsSe
_chemical_formula_sum 'Zn4 Os4 Se4'
_symmetry_space_group_name_H-M 'F -4 3 m'
_symmetry_Int_Tables_number 216
_symmetry_space_group_name_Hall 'F -4 2 3'
_cell_length_a 5.991
_cell_length_b 5.991
_cell_length_c 5.991
_cell_angle_alpha 90.00
_cell_angle_beta 90.00
_cell_angle_gamma 90.00
loop_
_atom_site_label
_atom_site_type_symbol
_atom_site_fract_x
_atom_site_fract_y
_atom_site_fract_z
_atom_site_occupancy
Zn1 Zn 0.000 0.000 0.000 1
Os1 Os 0.250 0.250 0.250 1
Se1 Se 0.000 0.000 0.500 1
```

# 9
A relaxed structure of Zn4OsSe, computed with PBE.

Results
Total magnetic moment   0.00 μB/f.u.
Final energy   -2.943 eV per atom
Calculated volume   90 Å³/f.u.
Mass density   9.8 g/cm³
Formation energy without anion corrections   0.358 eV per atom

```
data_Zn4OsSe
_chemical_formula_sum 'Zn16 Os4 Se4'
_symmetry_space_group_name_H-M 'F -4 3 m'
_symmetry_Int_Tables_number 216
_symmetry_space_group_name_Hall 'F -4 2 3'
_cell_length_a 7.105
_cell_length_b 7.105
_cell_length_c 7.105
_cell_angle_alpha 90.00
_cell_angle_beta 90.00
_cell_angle_gamma 90.00
loop_
_atom_site_label
_atom_site_type_symbol
_atom_site_fract_x
_atom_site_fract_y
_atom_site_fract_z
_atom_site_occupancy
Zn1 Zn 0.124 0.124 0.124 1
Os1 Os 0.250 0.250 0.750 1
Se1 Se 0.000 0.000 0.500 1
```

# 10
A relaxed structure of Zn3OsSe, computed with PBE.

Results
Total magnetic moment   0.67 μB/f.u.
Final energy   -2.354 eV per atom
Calculated volume   102 Å³/f.u.
Mass density   7.6 g/cm³
Formation energy without anion corrections   1.353 eV per atom
Energy above the lowest structure with this stoichiometry   0.513 eV/atom

```
data_Zn3OsSe
_chemical_formula_sum 'Zn3 Os1 Se1'
_symmetry_space_group_name_H-M 'P m -3 m'
_symmetry_Int_Tables_number 221
_symmetry_space_group_name_Hall '-P 4 2 3'
_cell_length_a 4.672
_cell_length_b 4.672
_cell_length_c 4.672
_cell_angle_alpha 90.00
_cell_angle_beta 90.00
_cell_angle_gamma 90.00
loop_
_atom_site_label
_atom_site_type_symbol
_atom_site_fract_x
_atom_site_fract_y
_atom_site_fract_z
_atom_site_occupancy
Zn1 Zn 0.000 0.000 0.500 1
Os1 Os 0.500 0.500 0.500 1
Se1 Se 0.000 0.000 0.000 1
```

# 11
A relaxed structure of ZnOsSe, computed with PBE.

Results
Total magnetic moment   0.00 μB/f.u.
Final energy   -5.018 eV per atom
Calculated volume   52 Å³/f.u.
Mass density   10.7 g/cm³
Formation energy without anion corrections   0.311 eV per atom
Energy above the lowest structure with this stoichiometry   0.044 eV/atom

```
data_ZnOsSe
_chemical_formula_sum 'Zn2 Os2 Se2'
_symmetry_space_group_name_H-M 'I 4 m m'
_symmetry_Int_Tables_number 107
_symmetry_space_group_name_Hall 'I 4 -2'
_cell_length_a 2.982
_cell_length_b 2.982
_cell_length_c 11.699
_cell_angle_alpha 90.00
_cell_angle_beta 90.00
_cell_angle_gamma 90.00
loop_
_atom_site_label
_atom_site_type_symbol
_atom_site_fract_x
_atom_site_fract_y
_atom_site_fract_z
_atom_site_occupancy
Zn1 Zn 0.000 0.000 0.000 1
Os1 Os 0.000 0.000 0.648 1
Se1 Se 0.000 0.000 0.271 1
```

# 12
A relaxed structure of ZnOsSe, computed with PBE.

Results
Total magnetic moment   0.00 μB/f.u.
Final energy   -5.062 eV per atom
Calculated volume   50 Å³/f.u.
Mass density   11.2 g/cm³
Formation energy without anion corrections   0.267 eV per atom
Energy above the lowest structure with this stoichiometry   0.000 eV/atom

```
data_ZnOsSe
_chemical_formula_sum 'Zn1 Os1 Se1'
_symmetry_space_group_name_H-M 'P 3 m 1'
_symmetry_Int_Tables_number 156
_cell_length_a 3.0612
_cell_length_b 3.0612
_cell_length_c 6.1149
_cell_angle_alpha 90.00
_cell_angle_beta 90.00
_cell_angle_gamma 120.00
loop_
_symmetry_equiv_pos_as_xyz
'x,y,z'
'-y,x-y,z'
'-x+y,-x,z'
'-y,-x,z'
'-x+y,y,z'
'x,x-y,z'
loop_
_atom_site_label
_atom_site_type_symbol
_atom_site_fract_x
_atom_site_fract_y
_atom_site_fract_z
_atom_site_occupancy
Zn1 Zn 0.0000 0.0000 0.0000 1
Os1 Os 0.3333 0.6667 0.3255 1
Se1 Se 0.6667 0.3333 0.6124 1
```